# ThFe2GeO6 PBE+U optimized geometry
data_ThFe2GeO6
_chemical_formula_sum 'Th1 Fe2 Ge1 O6'
_cell_length_a 5.3381
_cell_length_b 5.8098
_cell_length_c 5.6935
_cell_angle_alpha 120.68
_cell_angle_beta 119.40
_cell_angle_gamma 90.00
_symmetry_space_group_name_H-M 'P 1'
_symmetry_Int_Tables_number 1
loop_
_symmetry_equiv_pos_as_xyz
'x,y,z'
loop_
_atom_site_label
_atom_site_type_symbol
_atom_site_fract_x
_atom_site_fract_y
_atom_site_fract_z
Fe1 Fe 0.8043 0.7613 0.5226
Fe2 Fe 0.1957 0.2387 0.4774
O1 O 0.1915 0.6855 0.8275
O2 O 0.8085 0.3145 0.1725
O3 O 0.5506 0.2236 0.4473
O4 O 0.4494 0.7764 0.5527
O5 O 0.1915 0.1420 0.8275
O6 O 0.8085 0.8580 0.1725
Th1 Th 0.0000 0.5000 0.0000
Ge1 Ge 0.5000 0.0000 0.0000
# E (eV per atom): -7.3260
# Magnetic moment (μB/atom): 0.798